{
  "formula": "CuPt2",
  "functional": "PBE",
  "state": "relaxed",
  "ef_ev_per_fu": -0.32,
  "spacegroup": "No. 2",
  "lattice_angstrom": [[4.773, 0.000, 0.000], [-1.602, 5.919, 0.000], [-0.029, -2.590, 6.212]],
  "species": ["Cu", "Cu", "Cu", "Cu", "Pt", "Pt", "Pt", "Pt", "Pt", "Pt", "Pt", "Pt"],
  "frac_coords": [[0.044, 0.378, 0.295], [0.210, 0.874, 0.459], [0.790, 0.126, 0.541], [0.956, 0.622, 0.705], [0.122, 0.122, 0.867], [0.291, 0.628, 0.047], [0.363, 0.375, 0.618], [0.462, 0.125, 0.216], [0.538, 0.875, 0.784], [0.637, 0.625, 0.382], [0.709, 0.372, 0.953], [0.878, 0.878, 0.133]]
}